Arrangement A

# Fe4Co3 | Alexandria | meta-GGA SCAN | PBEsol geometry
# - Magnetic moment: 16.2 μB per formula unit
# - V: 10.90 A^3/atom
data_Fe4Co3
_chemical_formula_sum 'Fe8 Co6'
_cell_length_a 2.7885
_cell_length_b 2.7885
_cell_length_c 19.6304
_cell_angle_alpha 90.00
_cell_angle_beta 90.00
_cell_angle_gamma 90.00
_space_group_name_H-M_alt 'I 4 m m'
_space_group_IT_number 107
_space_group_name_Hall 'I 4 -2'
loop_
_atom_site_label
_atom_site_fract_x
_atom_site_fract_y
_atom_site_fract_z
_atom_site_occupancy
Fe1 0.0000 0.0000 0.0000 1
Fe2 0.0000 0.0000 0.1431 1
Fe3 0.0000 0.0000 0.2876 1
Fe4 0.0000 0.0000 0.7151 1
Co1 0.0000 0.0000 0.4307 1
Co2 0.0000 0.0000 0.5716 1
Co3 0.0000 0.0000 0.8573 1

***

Arrangement B

# Fe4Co3 | Alexandria | meta-GGA SCAN | PBEsol geometry
# - Magnetic moment: 12.7 μB per formula unit
# - V: 10.84 A^3/atom
data_Fe4Co3
_chemical_formula_sum 'Fe16 Co12'
_cell_length_a 2.7820
_cell_length_b 3.9529
_cell_length_c 27.6031
_cell_angle_alpha 90.00
_cell_angle_beta 90.00
_cell_angle_gamma 90.00
_space_group_name_H-M_alt 'F m m 2'
_space_group_IT_number 42
_space_group_name_Hall 'F 2 -2'
loop_
_atom_site_label
_atom_site_fract_x
_atom_site_fract_y
_atom_site_fract_z
_atom_site_occupancy
Fe1 0.0000 0.0000 0.0000 1
Fe2 0.0000 0.0000 0.1426 1
Fe3 0.0000 0.0000 0.4278 1
Fe4 0.0000 0.0000 0.8554 1
Co1 0.0000 0.0000 0.2844 1
Co2 0.0000 0.0000 0.5714 1
Co3 0.0000 0.0000 0.7133 1

***

The structure with the least stability is arrangement B.

***

Arrangement A

# Fe4Co3 | Alexandria | meta-GGA SCAN | PBEsol geometry
# - Magnetic moment: 16.2 μB per formula unit
# - V: 10.88 A^3/atom
data_Fe4Co3
_chemical_formula_sum 'Fe8 Co6'
_cell_length_a 16.0342
_cell_length_b 3.9396
_cell_length_c 2.4248
_cell_angle_alpha 90.00
_cell_angle_beta 96.01
_cell_angle_gamma 90.00
_space_group_name_H-M_alt 'C 1 m 1'
_space_group_IT_number 8
loop_
_space_group_symop_operation_xyz
'x,y,z'
'x,-y,z'
'x+1/2,y+1/2,z'
'x+1/2,-y+1/2,z'
loop_
_atom_site_label
_atom_site_fract_x
_atom_site_fract_y
_atom_site_fract_z
_atom_site_occupancy
Fe1 0.0000 0.0000 0.0000 1
Fe2 0.0719 0.5000 0.7147 1
Fe3 0.1445 0.0000 0.4253 1
Fe4 0.3566 0.5000 0.5630 1
Co1 0.2144 0.5000 0.1485 1
Co2 0.2869 0.0000 0.8299 1
Co3 0.4290 0.0000 0.2861 1

***

Arrangement B

# Fe4Co3 | Alexandria | meta-GGA SCAN | PBEsol geometry
# - Magnetic moment: 16.2 μB per formula unit
# - V: 10.85 A^3/atom
data_Fe4Co3
_chemical_formula_sum 'Fe16 Co12'
_cell_length_a 2.7744
_cell_length_b 3.9589
_cell_length_c 27.6559
_cell_angle_alpha 90.00
_cell_angle_beta 90.00
_cell_angle_gamma 90.00
_space_group_name_H-M_alt 'F m m m'
_space_group_IT_number 69
_space_group_name_Hall '-F 2 2'
loop_
_atom_site_label
_atom_site_fract_x
_atom_site_fract_y
_atom_site_fract_z
_atom_site_occupancy
Fe1 0.0000 0.0000 0.0713 1
Fe2 0.0000 0.0000 0.3565 1
Co1 0.0000 0.0000 0.2145 1
Co2 0.0000 0.0000 0.5000 1

***

The structure with the least stability is arrangement B.

***

Arrangement A

# Fe5Co2 | Alexandria | meta-GGA SCAN | PBEsol geometry
# - Magnetic moment: 16.8 μB per formula unit
# - V: 10.98 A^3/atom
data_Fe5Co2
_chemical_formula_sum 'Fe15 Co6'
_cell_length_a 3.9626
_cell_length_b 3.9626
_cell_length_c 16.9634
_cell_angle_alpha 90.00
_cell_angle_beta 90.00
_cell_angle_gamma 120.00
_space_group_name_H-M_alt 'R -3 m'
_space_group_IT_number 166
_space_group_name_Hall '-R 3 2"'
loop_
_atom_site_label
_atom_site_fract_x
_atom_site_fract_y
_atom_site_fract_z
_atom_site_occupancy
Fe1 0.0000 0.0000 0.0000 1
Fe2 0.0000 0.0000 0.1434 1
Fe3 0.0000 0.0000 0.4282 1
Co1 0.0000 0.0000 0.2860 1

***

Arrangement B

# Fe5Co2 | Alexandria | meta-GGA SCAN | PBEsol geometry
# - Magnetic moment: 16.6 μB per formula unit
# - V: 10.87 A^3/atom
data_Fe5Co2
_chemical_formula_sum 'Fe10 Co4'
_cell_length_a 2.7840
_cell_length_b 2.7840
_cell_length_c 19.6428
_cell_angle_alpha 90.00
_cell_angle_beta 90.00
_cell_angle_gamma 90.00
_space_group_name_H-M_alt 'I 4/m m m'
_space_group_IT_number 139
_space_group_name_Hall '-I 4 2'
loop_
_atom_site_label
_atom_site_fract_x
_atom_site_fract_y
_atom_site_fract_z
_atom_site_occupancy
Fe1 0.0000 0.0000 0.0000 1
Fe2 0.0000 0.0000 0.1437 1
Fe3 0.0000 0.0000 0.4289 1
Co1 0.0000 0.0000 0.2866 1

***

The structure with the least stability is arrangement B.

***

Arrangement A

# Fe5Co2 | Alexandria | meta-GGA SCAN | PBEsol geometry
# - Magnetic moment: 16.8 μB per formula unit
# - V: 10.95 A^3/atom
data_Fe5Co2
_chemical_formula_sum 'Fe10 Co4'
_cell_length_a 8.8644
_cell_length_b 2.7855
_cell_length_c 6.2732
_cell_angle_alpha 90.00
_cell_angle_beta 98.30
_cell_angle_gamma 90.00
_space_group_name_H-M_alt 'C 1 2/m 1'
_space_group_IT_number 12
loop_
_space_group_symop_operation_xyz
'x,y,z'
'-x,-y,-z'
'-x,y,-z'
'x,-y,z'
'x+1/2,y+1/2,z'
'-x+1/2,-y+1/2,-z'
'-x+1/2,y+1/2,-z'
'x+1/2,-y+1/2,z'
loop_
_atom_site_label
_atom_site_fract_x
_atom_site_fract_y
_atom_site_fract_z
_atom_site_occupancy
Fe1 0.0000 0.0000 0.0000 1
Fe2 0.0725 0.5000 0.7151 1
Fe3 0.1429 0.0000 0.4272 1
Co1 0.2137 0.5000 0.1430 1

***

Arrangement B

# Fe5Co2 | Alexandria | meta-GGA SCAN | PBEsol geometry
# - Magnetic moment: 16.7 μB per formula unit
# - V: 10.95 A^3/atom
data_Fe5Co2
_chemical_formula_sum 'Fe5 Co2'
_cell_length_a 2.4305
_cell_length_b 6.0820
_cell_length_c 6.0851
_cell_angle_alpha 118.16
_cell_angle_beta 97.62
_cell_angle_gamma 97.59
_space_group_name_H-M_alt 'P -1'
_space_group_IT_number 2
loop_
_space_group_symop_operation_xyz
'x,y,z'
'-x,-y,-z'
loop_
_atom_site_label
_atom_site_fract_x
_atom_site_fract_y
_atom_site_fract_z
_atom_site_occupancy
Fe1 0.0000 0.0000 0.0000 1
Fe2 0.1447 0.5716 0.8575 1
Fe3 0.4292 0.7156 0.5714 1
Co1 0.2887 0.1433 0.7149 1

***

The structure with the least stability is arrangement B.

***

Arrangement A

# Fe2Co5 | Alexandria | meta-GGA SCAN | PBEsol geometry
# - Magnetic moment: 14.8 μB per formula unit
# - V: 10.73 A^3/atom
data_Fe2Co5
_chemical_formula_sum 'Fe4 Co10'
_cell_length_a 8.7968
_cell_length_b 2.7805
_cell_length_c 6.2125
_cell_angle_alpha 90.00
_cell_angle_beta 98.51
_cell_angle_gamma 90.00
_space_group_name_H-M_alt 'C 1 2/m 1'
_space_group_IT_number 12
loop_
_space_group_symop_operation_xyz
'x,y,z'
'-x,-y,-z'
'-x,y,-z'
'x,-y,z'
'x+1/2,y+1/2,z'
'-x+1/2,-y+1/2,-z'
'-x+1/2,y+1/2,-z'
'x+1/2,-y+1/2,z'
loop_
_atom_site_label
_atom_site_fract_x
_atom_site_fract_y
_atom_site_fract_z
_atom_site_occupancy
Fe1 0.0695 0.0000 0.2170 1
Co1 0.0000 0.5000 0.5000 1
Co2 0.1405 0.5000 0.9338 1
Co3 0.2189 0.0000 0.6467 1

***

Arrangement B

# Fe2Co5 | Alexandria | meta-GGA SCAN | PBEsol geometry
# - Magnetic moment: 14.5 μB per formula unit
# - V: 10.66 A^3/atom
data_Fe2Co5
_chemical_formula_sum 'Fe2 Co5'
_cell_length_a 2.4175
_cell_length_b 5.8777
_cell_length_c 6.0962
_cell_angle_alpha 61.71
_cell_angle_beta 79.26
_cell_angle_gamma 80.43
_space_group_name_H-M_alt 'P -1'
_space_group_IT_number 2
loop_
_space_group_symop_operation_xyz
'x,y,z'
'-x,-y,-z'
loop_
_atom_site_label
_atom_site_fract_x
_atom_site_fract_y
_atom_site_fract_z
_atom_site_occupancy
Fe1 0.1304 0.2144 0.4273 1
Co1 0.0000 0.5000 0.0000 1
Co2 0.3251 0.9370 0.8569 1
Co3 0.3572 0.6379 0.2863 1

***

The structure with the least stability is arrangement B.

***

Arrangement A

# Fe7Co | Alexandria | meta-GGA SCAN | PBEsol geometry
# - Magnetic moment: 19.6 μB per formula unit
# - V: 10.88 A^3/atom
data_Fe7Co
_chemical_formula_sum 'Fe14 Co2'
_cell_length_a 5.5838
_cell_length_b 11.1811
_cell_length_c 2.7888
_cell_angle_alpha 90.00
_cell_angle_beta 90.00
_cell_angle_gamma 90.00
_space_group_name_H-M_alt 'C m m m'
_space_group_IT_number 65
_space_group_name_Hall '-C 2 2'
loop_
_atom_site_label
_atom_site_fract_x
_atom_site_fract_y
_atom_site_fract_z
_atom_site_occupancy
Fe1 0.0000 0.0000 0.0000 1
Fe2 0.0000 0.2506 0.0000 1
Fe3 0.2499 0.1247 0.5000 1
Co1 0.0000 0.5000 0.0000 1

***

Arrangement B

# Fe7Co | Alexandria | meta-GGA SCAN | PBEsol geometry
# - Magnetic moment: 19.5 μB per formula unit
# - V: 10.87 A^3/atom
data_Fe7Co
_chemical_formula_sum 'Fe7 Co1'
_cell_length_a 2.4181
_cell_length_b 7.8998
_cell_length_c 4.6212
_cell_angle_alpha 90.00
_cell_angle_beta 100.04
_cell_angle_gamma 90.00
_space_group_name_H-M_alt 'P 1 2/m 1'
_space_group_IT_number 10
loop_
_space_group_symop_operation_xyz
'x,y,z'
'-x,-y,-z'
'-x,y,-z'
'x,-y,z'
loop_
_atom_site_label
_atom_site_fract_x
_atom_site_fract_y
_atom_site_fract_z
_atom_site_occupancy
Fe1 0.0000 0.0000 0.0000 1
Fe2 0.0000 0.5000 0.0000 1
Fe3 0.2512 0.2492 0.7503 1
Fe4 0.5000 0.5000 0.5000 1
Co1 0.5000 0.0000 0.5000 1

***

The structure with the least stability is arrangement B.